Record 1
Density functional theory data (PBE) for a geometry-optimized PrAlGaCu structure.

The value obtained for the magnetization is 0.00 Bohr magnetons per cell. The calculation puts the distance to the lowest polymorph of the same formula at 0.0 meV per atom. The space group is R3m (160). The formation enthalpy at 0 K comes out at -0.428 eV per atom.

Lattice parameters (Å, degrees): 4.190 4.190 5.980 69.49 69.49 60.00
Atoms (fractional coordinates):
1 Al 0.599 0.599 0.203
2 Cu 0.305 0.305 0.084
3 Ga 0.017 0.017 0.950
4 Pr 0.805 0.805 0.585

=====

Record 2
Density functional theory data (PBE) for a geometry-optimized PrAlGaCu structure.

The value obtained for the magnetization is 0.00 Bohr magnetons per cell. The calculation puts the distance to the lowest polymorph of the same formula at 143.6 meV per atom. The space group is F-43m (216). The formation enthalpy at 0 K comes out at -0.284 eV per atom.

Lattice parameters (Å, degrees): 4.810 4.810 4.810 60.00 60.00 60.00
Atoms (fractional coordinates):
1 Cu 0.500 0.500 0.500
2 Pr 0.250 0.250 0.250
3 Ga 0.000 0.000 0.000
4 Al 0.750 0.750 0.750

=====

Record 3
Density functional theory data (PBE) for a geometry-optimized PrAlGaCu3 structure.

The value obtained for the magnetization is 0.00 Bohr magnetons per cell. The space group is Cmcm (63). The formation enthalpy at 0 K comes out at -0.135 eV per atom.

Lattice parameters (Å, degrees): 5.873 6.208 6.738 117.43 90.00 90.00
Atoms (fractional coordinates):
1 Cu 0.000 0.300 0.000
2 Cu 0.500 0.700 0.000
3 Cu 0.500 0.300 0.000
4 Cu 0.250 0.158 0.315
5 Cu 0.000 0.700 0.000
6 Cu 0.750 0.842 0.685
7 Al 0.750 0.040 0.080
8 Al 0.250 0.960 0.920
9 Pr 0.250 0.709 0.418
10 Pr 0.750 0.291 0.582
11 Ga 0.750 0.636 0.272
12 Ga 0.250 0.364 0.728

=====

Record 4
Density functional theory data (PBE) for a geometry-optimized Pr2AlGa4Cu3 structure.

The value obtained for the magnetization is 0.00 Bohr magnetons per cell. The space group is P-4m2 (115). The formation enthalpy at 0 K comes out at -0.483 eV per atom.

Lattice parameters (Å, degrees): 4.213 4.213 10.511 90.00 90.00 90.00
Atoms (fractional coordinates):
1 Ga 0.000 0.500 0.359
2 Ga 0.000 0.000 0.000
3 Ga 0.500 0.000 0.641
4 Ga 0.500 0.500 0.000
5 Al 0.500 0.500 0.500
6 Pr 0.500 0.000 0.245
7 Pr 0.000 0.500 0.755
8 Cu 0.000 0.000 0.500
9 Cu 0.000 0.500 0.127
10 Cu 0.500 0.000 0.873

=====

Record 5
Density functional theory data (PBE) for a geometry-optimized Pr2AlGa3Cu4 structure.

The value obtained for the magnetization is 0.00 Bohr magnetons per cell. The space group is P-4m2 (115). The formation enthalpy at 0 K comes out at -0.436 eV per atom.

Lattice parameters (Å, degrees): 4.252 4.252 10.121 90.00 90.00 90.00
Atoms (fractional coordinates):
1 Al 0.500 0.500 0.500
2 Ga 0.000 0.000 0.500
3 Ga 0.500 0.000 0.871
4 Ga 0.000 0.500 0.129
5 Cu 0.000 0.500 0.370
6 Cu 0.500 0.000 0.630
7 Cu 0.500 0.500 0.000
8 Cu 0.000 0.000 0.000
9 Pr 0.500 0.000 0.243
10 Pr 0.000 0.500 0.757

=====

Record 6
Density functional theory data (PBE) for a geometry-optimized Pr2Al3Ga4Cu structure.

The value obtained for the magnetization is 0.00 Bohr magnetons per cell. The space group is P-4m2 (115). The formation enthalpy at 0 K comes out at -0.436 eV per atom.

Lattice parameters (Å, degrees): 4.303 4.303 10.697 90.00 90.00 90.00
Atoms (fractional coordinates):
1 Ga 0.500 0.500 0.000
2 Ga 0.000 0.000 0.000
3 Ga 0.500 0.000 0.630
4 Ga 0.000 0.500 0.370
5 Pr 0.000 0.500 0.749
6 Pr 0.500 0.000 0.251
7 Al 0.000 0.500 0.137
8 Al 0.000 0.000 0.500
9 Al 0.500 0.000 0.863
10 Cu 0.500 0.500 0.500

=====

Record 7
Density functional theory data (PBE) for a geometry-optimized Pu2Al3Ga4Cu structure.

The value obtained for the magnetization is 11.36 Bohr magnetons per cell. The space group is P-4m2 (115). The formation enthalpy at 0 K comes out at -0.262 eV per atom.

Lattice parameters (Å, degrees): 4.181 4.181 10.840 90.00 90.00 90.00
Each line ends with the local moment (μB).
Atoms (fractional coordinates):
1 Al 0.500 0.000 0.858  -0.01
2 Al 0.000 0.000 0.500  -0.01
3 Al 0.000 0.500 0.142  -0.01
4 Ga 0.000 0.000 0.000  -0.03
5 Ga 0.000 0.500 0.368  -0.02
6 Ga 0.500 0.000 0.632  -0.02
7 Ga 0.500 0.500 0.000  -0.03
8 Cu 0.500 0.500 0.500  0.00
9 Pu 0.000 0.500 0.752  5.36
10 Pu 0.500 0.000 0.248  5.36

=====

Record 8
Density functional theory data (PBE) for a geometry-optimized PuAl3GaCu structure.

The value obtained for the magnetization is 12.02 Bohr magnetons per cell. The space group is Cmcm (63). The formation enthalpy at 0 K comes out at -0.064 eV per atom.

Lattice parameters (Å, degrees): 5.747 5.969 7.164 114.62 90.00 90.00
Each line ends with the local moment (μB).
Atoms (fractional coordinates):
1 Pu 0.250 0.699 0.397  5.44
2 Pu 0.750 0.301 0.603  5.44
3 Al 0.500 0.282 0.000  0.00
4 Al 0.250 0.132 0.263  0.00
5 Al 0.750 0.868 0.737  0.00
6 Al 0.000 0.282 0.000  0.00
7 Al 0.500 0.718 0.000  0.00
8 Al 0.000 0.718 0.000  0.00
9 Ga 0.750 0.658 0.316  0.03
10 Ga 0.250 0.342 0.684  0.03
11 Cu 0.250 0.911 0.822  0.01
12 Cu 0.750 0.089 0.178  0.01

=====

Record 9
Density functional theory data (PBE) for a geometry-optimized Pu2AlGa6Cu structure.

The value obtained for the magnetization is 23.09 Bohr magnetons per cell. The space group is R-3m (166). The formation enthalpy at 0 K comes out at -0.136 eV per atom.

Lattice parameters (Å, degrees): 6.194 6.194 12.559 75.72 75.72 60.00
Each line ends with the local moment (μB).
Atoms (fractional coordinates):
1 Ga 0.795 0.795 0.168  0.00
2 Ga 0.205 0.205 0.832  0.00
3 Ga 0.652 0.652 0.638  -0.01
4 Ga 0.205 0.759 0.832  0.00
5 Ga 0.241 0.795 0.168  0.00
6 Ga 0.059 0.652 0.638  -0.01
7 Ga 0.348 0.941 0.362  -0.01
8 Ga 0.941 0.348 0.362  -0.01
9 Ga 0.348 0.348 0.362  -0.01
10 Ga 0.759 0.205 0.832  0.00
11 Ga 0.652 0.059 0.638  -0.01
12 Ga 0.795 0.241 0.168  0.00
13 Al 0.000 0.000 0.000  -0.01
14 Al 0.500 0.500 0.500  -0.02
15 Pu 0.684 0.684 0.947  5.56
16 Pu 0.316 0.316 0.053  5.56
17 Pu 0.135 0.135 0.595  5.32
18 Pu 0.865 0.865 0.405  5.32
19 Cu 0.425 0.425 0.725  0.00
20 Cu 0.575 0.575 0.275  0.00

=====

Record 10
Density functional theory data (PBE) for a geometry-optimized PuAlGa2Cu4 structure.

The value obtained for the magnetization is 5.58 Bohr magnetons per cell. The space group is R-3m (166). The formation enthalpy at 0 K comes out at -0.125 eV per atom.

Lattice parameters (Å, degrees): 4.160 4.160 8.884 76.46 76.46 60.00
Each line ends with the local moment (μB).
Atoms (fractional coordinates):
1 Ga 0.247 0.247 0.259  -0.01
2 Ga 0.753 0.753 0.741  -0.01
3 Cu 0.867 0.867 0.398  0.00
4 Cu 0.404 0.404 0.787  0.01
5 Cu 0.133 0.133 0.602  0.00
6 Cu 0.596 0.596 0.213  0.01
7 Al 0.500 0.500 0.500  0.00
8 Pu 0.000 0.000 0.000  5.23

=====

Record 11
Density functional theory data (PBE) for a geometry-optimized PuAl2GaCu4 structure.

The value obtained for the magnetization is 5.65 Bohr magnetons per cell. The space group is R-3m (166). The formation enthalpy at 0 K comes out at -0.113 eV per atom.

Lattice parameters (Å, degrees): 4.151 4.151 8.958 76.60 76.60 60.00
Each line ends with the local moment (μB).
Atoms (fractional coordinates):
1 Cu 0.596 0.596 0.213  0.02
2 Cu 0.870 0.870 0.389  0.00
3 Cu 0.404 0.404 0.787  0.02
4 Cu 0.130 0.130 0.611  0.00
5 Al 0.755 0.755 0.735  -0.01
6 Al 0.245 0.245 0.265  -0.01
7 Pu 0.000 0.000 0.000  5.20
8 Ga 0.500 0.500 0.500  0.00

=====

Record 12
Density functional theory data (PBE) for a geometry-optimized PuAl2Ga4Cu structure.

The value obtained for the magnetization is 5.53 Bohr magnetons per cell. The space group is R-3m (166). The formation enthalpy at 0 K comes out at -0.139 eV per atom.

Lattice parameters (Å, degrees): 4.548 4.548 8.363 74.22 74.22 60.00
Each line ends with the local moment (μB).
Atoms (fractional coordinates):
1 Ga 0.866 0.866 0.402  0.00
2 Ga 0.608 0.608 0.177  0.00
3 Ga 0.134 0.134 0.598  0.00
4 Ga 0.392 0.392 0.823  0.00
5 Al 0.252 0.252 0.243  -0.01
6 Al 0.748 0.748 0.757  -0.01
7 Cu 0.500 0.500 0.500  0.01
8 Pu 0.000 0.000 0.000  5.24